Entry 1:
Compound: Sc4TlPd3
Source: Alexandria via LeMat-Bulk
Functional: GGA-PBE
Structure: relaxed

VASP energy: -6.13 eV per atom
energy of formation from the pure elements: -723.5 meV/atom
space-group type: R-3m
total moment: 0.00 μB per formula unit

Cell lengths 8.2906, 8.2906, 8.2906 Å; angles 33.55, 33.55, 33.55 degrees
Atoms (fractional coordinates):
Sc 0.1180 0.1180 0.1180
Sc 0.3697 0.3697 0.3697
Sc 0.6303 0.6303 0.6303
Sc 0.8820 0.8820 0.8820
Tl 0.5000 0.5000 0.5000
Pd 0.0000 0.0000 0.0000
Pd 0.2469 0.2469 0.2469
Pd 0.7531 0.7531 0.7531

***

Entry 2:
Compound: ScTlPd5
Source: Alexandria via LeMat-Bulk
Functional: GGA-PBE
Structure: relaxed

VASP energy: -5.46 eV per atom
energy of formation from the pure elements: -505.9 meV/atom
space-group type: P4/mmm
total moment: 0.00 μB per formula unit

Cell lengths 3.9869, 3.9869, 7.9909 Å; angles 90.00, 90.00, 90.00 degrees
Atoms (fractional coordinates):
Sc 0.0000 0.0000 0.0000
Tl 0.5000 0.5000 0.5000
Pd 0.0000 0.5000 0.2502
Pd 0.0000 0.5000 0.7498
Pd 0.5000 0.0000 0.2502
Pd 0.5000 0.0000 0.7498
Pd 0.5000 0.5000 0.0000

***

Entry 3:
Compound: Sc2TlPd4
Source: Alexandria via LeMat-Bulk
Functional: GGA-PBE
Structure: relaxed

VASP energy: -5.66 eV per atom
energy of formation from the pure elements: -547.2 meV/atom
space-group type: P1
total moment: 0.00 μB per formula unit

Cell lengths 6.1829, 6.8588, 7.0742 Å; angles 91.62, 111.38, 104.73 degrees
Atoms (fractional coordinates):
Sc 0.0000 0.0000 0.0000
Sc 0.0841 0.9316 0.5358
Sc 0.4188 0.5320 0.5955
Sc 0.8349 0.3817 0.4728
Tl 0.3445 0.7188 0.2038
Tl 0.5972 0.2412 0.8758
Pd 0.0567 0.3686 0.2141
Pd 0.1725 0.3496 0.8376
Pd 0.3847 0.1595 0.3732
Pd 0.4106 0.8053 0.8468
Pd 0.6814 0.9433 0.6078
Pd 0.7256 0.0329 0.2336
Pd 0.7996 0.6551 0.1574
Pd 0.9154 0.6366 0.7941